Version i
A relaxed TmSbPO crystal, computed with PBE.

It has space group P4/nmm (No. 129, origin choice 2), with a = 5.371 Å, b = 5.371 Å, c = 5.219 Å, α = 90.00°, β = 90.00° and γ = 90.00°. The asymmetric unit holds Tm at (0.250, 0.750, 0.000), Sb at (0.250, 0.250, 0.499), P at (0.250, 0.250, 0.999) and O at (0.250, 0.750, 0.500).

The total magnetization comes out at 0.00 Bohr magnetons per cell.

***

Version ii
A relaxed TmSbPO crystal, computed with PBE.

It has space group P4/nmm (No. 129, origin choice 2), with a = 3.993 Å, b = 3.993 Å, c = 9.969 Å, α = 90.00°, β = 90.00° and γ = 90.00°. The asymmetric unit holds Tm at (0.250, 0.250, 0.101), Sb at (0.250, 0.750, 0.500), P at (0.250, 0.250, 0.732) and O at (0.250, 0.750, 0.000).

The total magnetization comes out at 0.02 Bohr magnetons per cell.

***

Version iii
A relaxed TmSbPO crystal, computed with PBE.

It has space group Pmc2_1 (No. 26), with a = 3.667 Å, b = 6.665 Å, c = 8.091 Å, α = 90.00°, β = 90.00° and γ = 90.00°. The asymmetric unit holds Tm at (0.000, 0.190, 0.000), Sb at (0.500, 0.276, 0.540), P at (0.000, 0.187, 0.341) and O at (0.500, 0.320, 0.954).

The total magnetization comes out at 0.02 Bohr magnetons per cell.

***

The least stable of them is version i.

***

Version i
A relaxed ZnSbPO crystal, computed with PBE.

It has space group Pmc2_1 (No. 26), with a = 3.577 Å, b = 7.621 Å, c = 6.016 Å, α = 90.00°, β = 90.00° and γ = 90.00°. The asymmetric unit holds Zn at (0.000, 0.142, 0.000), Sb at (0.500, 0.344, 0.574), P at (0.000, 0.161, 0.393) and O at (0.500, 0.224, 0.874).

***

Version ii
A relaxed ZnSbPO crystal, computed with PBE.

It has space group P4/nmm (No. 129, origin choice 2), with a = 4.495 Å, b = 4.495 Å, c = 7.873 Å, α = 90.00°, β = 90.00° and γ = 90.00°. The asymmetric unit holds Zn at (0.250, 0.250, 0.011), Sb at (0.250, 0.750, 0.500), P at (0.250, 0.250, 0.335) and O at (0.250, 0.750, 0.000).

***

The least stable of them is version ii.

***

Version i
A relaxed ZrSbPO crystal, computed with PBE.

It has space group P4/nmm (No. 129, origin choice 2), with a = 4.691 Å, b = 4.691 Å, c = 6.590 Å, α = 90.00°, β = 90.00° and γ = 90.00°. The asymmetric unit holds Zr at (0.250, 0.750, 0.000), Sb at (0.250, 0.250, 0.430), P at (0.250, 0.250, 0.837) and O at (0.250, 0.750, 0.500).

The total magnetization comes out at 0.01 Bohr magnetons per cell.

***

Version ii
A relaxed ZrSbPO crystal, computed with PBE.

It has space group Pmc2_1 (No. 26), with a = 3.532 Å, b = 7.082 Å, c = 8.020 Å, α = 90.00°, β = 90.00° and γ = 90.00°. The asymmetric unit holds Zr at (0.000, 0.214, 0.000), Sb at (0.500, 0.169, 0.525), P at (0.000, 0.074, 0.303) and O at (0.500, 0.344, 0.975).

The total magnetization comes out at 0.00 Bohr magnetons per cell.

***

Version iii
A relaxed ZrSbPO crystal, computed with PBE.

It has space group P4/nmm (No. 129, origin choice 2), with a = 3.848 Å, b = 3.848 Å, c = 9.868 Å, α = 90.00°, β = 90.00° and γ = 90.00°. The asymmetric unit holds Zr at (0.250, 0.250, 0.116), Sb at (0.250, 0.750, 0.500), P at (0.250, 0.250, 0.754) and O at (0.250, 0.750, 0.000).

The total magnetization comes out at 0.01 Bohr magnetons per cell.

***

The least stable of them is version i.

***

Version i
A relaxed SmScPO crystal, computed with PBE.

It has space group Pmc2_1 (No. 26), with a = 4.187 Å, b = 4.927 Å, c = 6.959 Å, α = 90.00°, β = 90.00° and γ = 90.00°. The asymmetric unit holds Sm at (0.000, 0.144, 0.000), Sc at (0.500, 0.350, 0.356), P at (0.500, 0.147, 0.708) and O at (0.000, 0.335, 0.341).

The total magnetization comes out at 0.83 Bohr magnetons per cell.

***

Version ii
A relaxed SmScPO crystal, computed with PBE.

It has space group Pmc2_1 (No. 26), with a = 4.275 Å, b = 6.817 Å, c = 5.833 Å, α = 90.00°, β = 90.00° and γ = 90.00°. The asymmetric unit holds Sm at (0.000, 0.203, 0.000), Sc at (0.500, 0.384, 0.590), P at (0.000, 0.205, 0.494) and O at (0.500, 0.345, 0.941).

The total magnetization comes out at 0.00 Bohr magnetons per cell.

***

The least stable of them is version ii.

***

Version i
A relaxed SmScPO crystal, computed with PBE.

It has space group P4/nmm (No. 129, origin choice 2), with a = 4.184 Å, b = 4.184 Å, c = 8.684 Å, α = 90.00°, β = 90.00° and γ = 90.00°. The asymmetric unit holds Sm at (0.250, 0.250, 0.121), Sc at (0.250, 0.750, 0.500), P at (0.250, 0.250, 0.676) and O at (0.250, 0.750, 0.000).

The total magnetization comes out at 0.08 Bohr magnetons per cell.

***

Version ii
A relaxed SmScPO crystal, computed with PBE.

It has space group P4/nmm (No. 129, origin choice 2), with a = 4.460 Å, b = 4.460 Å, c = 8.762 Å, α = 90.00°, β = 90.00° and γ = 90.00°. The asymmetric unit holds Sm at (0.250, 0.750, 0.000), Sc at (0.250, 0.250, 0.478), P at (0.250, 0.250, 0.188) and O at (0.250, 0.750, 0.500).

The total magnetization comes out at 0.83 Bohr magnetons per cell.

***

The least stable of them is version ii.